(1)
Density functional theory data (PBE) for crystalline Th2Re2N7 at its relaxed geometry.

Unit cell a=7.6130 b=9.6707 c=5.1365 alpha=90.00 beta=102.79 gamma=90.00
Last column: nearest neighbours and their distance in Å.
Space group C2/m (No. 12)
Inequivalent atoms, fractional coordinates:
Th1 0.0000 0.1966 0.0000 x4  6 N 2.39-2.47
Re1 0.2223 0.5000 0.4097 x4  4 N 1.83-1.85
N1 0.0000 0.5000 0.5000 x2  2 Re 1.85
N2 0.1145 0.0000 0.2652 x4  1 Re 1.85
N3 0.2453 0.3449 0.2151 x8  1 Re 1.83

Computed properties:
**Energy**: -212.05 eV per cell
**DOS(E_F)**: 8.54 states/eV per cell
**Formation energy without anion corrections**: -728 meV/atom

=====

(2)
Density functional theory data (PBE) for crystalline KHgRh2 at its relaxed geometry.

Unit cell a=2.9837 b=2.9837 c=29.9962 alpha=90.00 beta=90.00 gamma=120.00
Last column: nearest neighbours and their distance in Å.
Space group R-3m (No. 166, hexagonal axes)
Inequivalent atoms, fractional coordinates:
K1 0.0000 0.0000 0.0000 x3  6 K 2.98, 6 Rh 3.24
Hg1 0.0000 0.0000 0.5000 x3  6 Rh 2.84, 6 Hg 2.98
Rh1 0.0000 0.0000 0.2418 x6  3 Hg 2.84, 6 Rh 2.98

Computed properties:
**Energy**: -41.53 eV per cell
**DOS(E_F)**: 12.40 states/eV per cell
**DFT formation energy**: 0.565 eV per atom

=====

(3)
Density functional theory data (PBE) for crystalline In5Pb24 at its relaxed geometry.

Unit cell a=12.2742 b=12.2742 c=12.2742 alpha=90.00 beta=90.00 gamma=90.00
Last column: nearest neighbours and their distance in Å.
Space group I-43m (No. 217)
Inequivalent atoms, fractional coordinates:
In1 0.0000 0.0000 0.0000 x2  4 In 3.58, 12 Pb 3.90
In2 0.1686 0.1686 0.1686 x8  9 Pb 3.48-3.66, 1 In 3.58
Pb1 0.0502 0.3589 0.6411 x24  7 Pb 3.31-3.68, 1 In 3.48
Pb2 0.0940 0.0940 0.7115 x24  8 Pb 3.26-3.55

Computed properties:
**Energy**: -202.65 eV per cell
**DOS(E_F)**: 43.60 states/eV per cell
**DFT formation energy**: 0.047 eV per atom

=====

(4)
Density functional theory data (PBE) for crystalline LaPuN2 at its relaxed geometry.

Unit cell a=3.0733 b=3.0733 c=6.1603 alpha=90.00 beta=90.00 gamma=90.00
Last column: nearest neighbours and their distance in Å.
Space group P4/mmm (No. 123)
Inequivalent atoms, fractional coordinates:
La1 0.0000 0.0000 0.0000 x1  8 N 2.72
Pu1 0.0000 0.0000 0.5000 x1  8 N 2.61
N1 0.5000 0.5000 0.2660 x2  4 Pu 2.61, 4 La 2.72, 1 N 2.88

Computed properties:
**Energy**: -38.59 eV per cell
**DOS(E_F)**: 6.71 states/eV per cell
**Formation energy without anion corrections**: -669 meV/atom

=====

Number 2 is which compound? KHgRh2